1.
Compound: RbF2
Source: Alexandria via LeMat-Bulk
Functional: SCAN
Structure: single point on PBEsol structure

a b c (Å): 5.097 5.097 5.254
angles (deg): 90.00 90.00 90.00
Fractional positions:
Rb 0.000 0.000 0.000
Rb 0.500 0.500 0.500
F 0.134 0.134 0.500
F 0.366 0.634 0.000
F 0.634 0.366 0.000
F 0.866 0.866 0.500

Values from the calculation:
The symmetry is P4_2/mnm (136). The value obtained for the total energy is -11.210 eV/atom. The value obtained for the mass density is 3.0 g/cm3.

---

2.
Compound: ThSi2Os2
Source: Alexandria via LeMat-Bulk
Functional: SCAN
Structure: single point on PBEsol structure

a b c (Å): 5.698 5.698 5.698
angles (deg): 136.88 136.88 62.63
Fractional positions:
Th 0.000 0.000 0.000
Si 0.370 0.370 0.000
Si 0.630 0.630 0.000
Os 0.250 0.750 0.500
Os 0.750 0.250 0.500

Values from the calculation:
The symmetry is I4/mmm (139). The value obtained for the total energy is -52.780 eV/atom. The value obtained for the mass density is 13.0 g/cm3.

---

3.
Compound: Li7La3Hf2O12
Source: Alexandria via LeMat-Bulk
Functional: SCAN
Structure: single point on PBEsol structure

a b c (Å): 11.104 11.104 11.104
angles (deg): 108.36 108.36 111.73
Fractional positions:
Li 0.055 0.805 0.610
Li 0.106 0.274 0.992
Li 0.114 0.106 0.332
Li 0.125 0.875 0.250
Li 0.195 0.305 0.250
Li 0.218 0.886 0.492
Li 0.226 0.394 0.508
Li 0.274 0.782 0.168
Li 0.282 0.774 0.668
Li 0.305 0.555 0.110
Li 0.375 0.625 0.750
Li 0.386 0.718 0.992
Li 0.394 0.386 0.168
Li 0.445 0.055 0.750
Li 0.555 0.945 0.250
Li 0.606 0.614 0.832
Li 0.614 0.282 0.008
Li 0.625 0.375 0.250
Li 0.695 0.445 0.890
Li 0.718 0.226 0.332
Li 0.726 0.218 0.832
Li 0.774 0.606 0.492
Li 0.782 0.114 0.508
Li 0.805 0.695 0.750
Li 0.875 0.125 0.750
Li 0.886 0.894 0.668
Li 0.894 0.726 0.008
Li 0.945 0.195 0.390
La 0.122 0.750 0.872
La 0.125 0.375 0.750
La 0.250 0.122 0.872
La 0.250 0.622 0.372
La 0.375 0.125 0.250
La 0.378 0.250 0.628
La 0.622 0.750 0.372
La 0.625 0.875 0.750
La 0.750 0.378 0.628
La 0.750 0.878 0.128
La 0.875 0.625 0.250
La 0.878 0.250 0.128
Hf 0.000 0.000 0.000
Hf 0.000 0.000 0.500
Hf 0.000 0.500 0.000
Hf 0.000 0.500 0.500
Hf 0.500 0.000 0.000
Hf 0.500 0.000 0.500
Hf 0.500 0.500 0.000
Hf 0.500 0.500 0.500
O 0.019 0.112 0.701
O 0.025 0.903 0.823
O 0.080 0.403 0.378
O 0.089 0.681 0.201
O 0.097 0.420 0.122
O 0.098 0.687 0.479
O 0.112 0.911 0.093
O 0.119 0.208 0.521
O 0.181 0.589 0.701
O 0.187 0.598 0.979
O 0.202 0.025 0.622
O 0.208 0.187 0.089
O 0.292 0.381 0.979
O 0.298 0.920 0.823
O 0.313 0.292 0.411
O 0.319 0.019 0.407
O 0.381 0.902 0.089
O 0.388 0.481 0.799
O 0.402 0.881 0.589
O 0.403 0.525 0.323
O 0.411 0.612 0.593
O 0.420 0.798 0.323
O 0.475 0.298 0.878
O 0.481 0.181 0.093
O 0.519 0.819 0.907
O 0.525 0.702 0.122
O 0.580 0.202 0.677
O 0.589 0.388 0.407
O 0.597 0.475 0.677
O 0.598 0.119 0.411
O 0.612 0.519 0.201
O 0.619 0.098 0.911
O 0.681 0.981 0.593
O 0.687 0.708 0.589
O 0.702 0.080 0.177
O 0.708 0.619 0.021
O 0.792 0.813 0.911
O 0.798 0.975 0.378
O 0.813 0.402 0.021
O 0.819 0.411 0.299
O 0.881 0.792 0.479
O 0.888 0.089 0.907
O 0.902 0.313 0.521
O 0.903 0.580 0.878
O 0.911 0.319 0.799
O 0.920 0.597 0.622
O 0.975 0.097 0.177
O 0.981 0.888 0.299

Values from the calculation:
The symmetry is I4_1/acd (142). The value obtained for the total energy is -17.530 eV/atom. The value obtained for the mass density is 6.4 g/cm3.

---

4.
Compound: Tl3Cd
Source: Alexandria via LeMat-Bulk
Functional: SCAN
Structure: single point on PBEsol structure

a b c (Å): 5.498 6.629 5.841
angles (deg): 90.00 90.00 90.00
Fractional positions:
Tl 0.250 0.001 0.168
Tl 0.250 0.499 0.168
Tl 0.250 0.750 0.658
Tl 0.750 0.250 0.342
Tl 0.750 0.501 0.832
Tl 0.750 0.999 0.832
Cd 0.250 0.250 0.671
Cd 0.750 0.750 0.329

Values from the calculation:
The symmetry is Pmmn (59). The value obtained for the total energy is -61.809 eV/atom. The value obtained for the mass density is 11.3 g/cm3. For the energy relative to the elements, the calculation gives 0.3 eV per formula unit.

---

5.
Compound: AlZnFe2
Source: Alexandria via LeMat-Bulk
Functional: SCAN
Structure: single point on PBEsol structure

a b c (Å): 2.580 3.651 5.129
angles (deg): 90.00 90.16 90.00
Fractional positions:
Al 0.000 0.000 0.000
Zn 0.000 0.000 0.500
Fe 0.500 0.500 0.247
Fe 0.500 0.500 0.753

Values from the calculation:
The symmetry is P2/m (10). The value obtained for the total energy is -14.564 eV/atom. The value obtained for the mass density is 7.0 g/cm3. For the energy relative to the elements, the calculation gives -0.7 eV per formula unit.

---

6.
Compound: KCaHg
Source: Alexandria via LeMat-Bulk
Functional: SCAN
Structure: single point on PBEsol structure

a b c (Å): 7.721 7.721 7.721
angles (deg): 150.71 150.71 41.91
Fractional positions:
K 0.000 0.000 0.000
Ca 0.735 0.735 0.000
Hg 0.335 0.335 0.000

Values from the calculation:
The symmetry is I4mm (107). The value obtained for the total energy is -29.022 eV/atom. The value obtained for the mass density is 4.2 g/cm3. For the energy relative to the elements, the calculation gives -0.9 eV per formula unit.

---

7.
Compound: CaMgFe2
Source: Alexandria via LeMat-Bulk
Functional: SCAN
Structure: single point on PBEsol structure

a b c (Å): 9.044 9.044 9.044
angles (deg): 19.81 19.81 19.81
Fractional positions:
Ca 0.000 0.000 0.000
Mg 0.777 0.777 0.777
Fe 0.246 0.246 0.246
Fe 0.523 0.523 0.523

Values from the calculation:
The symmetry is R3m (160). The value obtained for the total energy is -12.220 eV/atom. The value obtained for the mass density is 3.9 g/cm3. For the energy relative to the elements, the calculation gives 2.0 eV per formula unit.

---

8.
Compound: ZnCuAu
Source: Alexandria via LeMat-Bulk
Functional: SCAN
Structure: single point on PBEsol structure

a b c (Å): 4.215 4.215 2.730
angles (deg): 90.00 90.00 120.00
Fractional positions:
Zn 0.000 0.000 0.000
Cu 0.333 0.667 0.870
Au 0.667 0.333 0.426

Values from the calculation:
The symmetry is P3m1 (156). The value obtained for the total energy is -32.747 eV/atom. The value obtained for the mass density is 12.9 g/cm3. The value obtained for the relative energy among the computed polymorphs is 0.042 eV per atom. For the energy relative to the elements, the calculation gives -0.4 eV per formula unit.

---

9.
Compound: CoRe2Cl
Source: Alexandria via LeMat-Bulk
Functional: SCAN
Structure: single point on PBEsol structure

a b c (Å): 4.289 4.289 4.289
angles (deg): 60.00 60.00 60.00
Fractional positions:
Co 0.000 0.000 0.000
Re 0.250 0.250 0.250
Re 0.500 0.500 0.500
Cl 0.750 0.750 0.750

Values from the calculation:
The symmetry is F-43m (216). The value obtained for the total energy is -40.771 eV/atom. The value obtained for the mass density is 13.9 g/cm3. The value obtained for the relative energy among the computed polymorphs is 0.546 eV per atom.

---

10.
Compound: BeTlIn2
Source: Alexandria via LeMat-Bulk
Functional: SCAN
Structure: single point on PBEsol structure

a b c (Å): 6.824 6.824 6.824
angles (deg): 153.22 141.77 47.29
Fractional positions:
Be 0.000 0.000 0.000
Tl 0.500 0.500 0.000
In 0.186 0.686 0.500
In 0.814 0.314 0.500

Values from the calculation:
The symmetry is Immm (71). The value obtained for the total energy is -35.551 eV/atom. The value obtained for the mass density is 8.3 g/cm3. The value obtained for the relative energy among the computed polymorphs is 0.035 eV per atom. For the energy relative to the elements, the calculation gives 1.3 eV per formula unit.

---

11.
Compound: CoSb2TeSe
Source: Alexandria via LeMat-Bulk
Functional: SCAN
Structure: single point on PBEsol structure

a b c (Å): 4.827 4.827 5.011
angles (deg): 90.00 90.00 90.00
Fractional positions:
Co 0.000 0.000 0.000
Sb 0.000 0.500 0.000
Sb 0.500 0.000 0.000
Te 0.000 0.000 0.500
Se 0.500 0.500 0.500

Values from the calculation:
The symmetry is P4/mmm (123). The value obtained for the total energy is -29.396 eV/atom. The value obtained for the mass density is 7.2 g/cm3.

---

12.
Compound: YNb3Ni
Source: Alexandria via LeMat-Bulk
Functional: SCAN
Structure: single point on PBEsol structure

a b c (Å): 4.694 4.694 4.694
angles (deg): 90.00 90.00 90.00
Fractional positions:
Y 0.000 0.000 0.000
Nb 0.000 0.500 0.500
Nb 0.500 0.000 0.500
Nb 0.500 0.500 0.000
Ni 0.500 0.500 0.500

Values from the calculation:
The symmetry is Pm-3m (221). The value obtained for the total energy is -28.078 eV/atom. The value obtained for the mass density is 6.8 g/cm3. For the energy relative to the elements, the calculation gives 3.0 eV per formula unit.

---

13.
Compound: CuTeCl3
Source: Alexandria via LeMat-Bulk
Functional: SCAN
Structure: single point on PBEsol structure

a b c (Å): 5.289 5.289 5.289
angles (deg): 90.00 90.00 90.00
Fractional positions:
Cu 0.000 0.000 0.000
Te 0.500 0.500 0.500
Cl 0.000 0.500 0.500
Cl 0.500 0.000 0.500
Cl 0.500 0.500 0.000

Values from the calculation:
The symmetry is Pm-3m (221). The value obtained for the total energy is -15.043 eV/atom. The value obtained for the mass density is 3.3 g/cm3.

---

14.
Compound: Be2TcW
Source: Alexandria via LeMat-Bulk
Functional: SCAN
Structure: single point on PBEsol structure

a b c (Å): 4.096 4.096 4.096
angles (deg): 60.00 60.00 60.00
Fractional positions:
Be 0.000 0.000 0.000
Be 0.250 0.250 0.250
Tc 0.750 0.750 0.750
W 0.500 0.500 0.500

Values from the calculation:
The symmetry is F-43m (216). The value obtained for the total energy is -28.375 eV/atom. The value obtained for the mass density is 10.2 g/cm3. The value obtained for the relative energy among the computed polymorphs is 0.220 eV per atom. For the energy relative to the elements, the calculation gives 0.0 eV per formula unit.

---

15.
Compound: MnTl2SnTe4
Source: Alexandria via LeMat-Bulk
Functional: SCAN
Structure: single point on PBEsol structure

a b c (Å): 6.856 6.856 6.856
angles (deg): 104.63 104.63 119.66
Fractional positions:
Mn 0.000 0.000 0.000
Tl 0.000 0.500 0.500
Tl 0.500 0.000 0.500
Sn 0.500 0.500 0.000
Te 0.061 0.061 0.637
Te 0.424 0.424 0.363
Te 0.576 0.939 0.000
Te 0.939 0.576 0.000

Values from the calculation:
The symmetry is I-42m (121). The value obtained for the total energy is -43.817 eV/atom. The value obtained for the mass density is 7.5 g/cm3.

---

16.
Compound: Ti2CuP2O10
Source: Alexandria via LeMat-Bulk
Functional: SCAN
Structure: single point on PBEsol structure

a b c (Å): 7.028 7.895 7.255
angles (deg): 90.00 118.95 90.00
Fractional positions:
Ti 0.239 0.220 0.035
Ti 0.239 0.280 0.535
Ti 0.761 0.720 0.465
Ti 0.761 0.780 0.965
Cu 0.500 0.000 0.500
Cu 0.500 0.500 0.000
P 0.249 0.596 0.248
P 0.249 0.904 0.748
P 0.751 0.096 0.252
P 0.751 0.404 0.752
O 0.056 0.705 0.095
O 0.056 0.795 0.595
O 0.186 0.012 0.886
O 0.186 0.488 0.386
O 0.278 0.149 0.281
O 0.278 0.351 0.781
O 0.318 0.031 0.625
O 0.318 0.469 0.125
O 0.443 0.711 0.378
O 0.443 0.789 0.878
O 0.557 0.211 0.122
O 0.557 0.289 0.622
O 0.682 0.531 0.875
O 0.682 0.969 0.375
O 0.722 0.649 0.219
O 0.722 0.851 0.719
O 0.814 0.512 0.614
O 0.814 0.988 0.114
O 0.944 0.205 0.405
O 0.944 0.295 0.905

Values from the calculation:
The symmetry is P2_1/c (14). The value obtained for the total energy is -11.310 eV/atom. The value obtained for the mass density is 3.6 g/cm3.

---

17.
Compound: HfBiAs2Br
Source: Alexandria via LeMat-Bulk
Functional: SCAN
Structure: single point on PBEsol structure

a b c (Å): 5.341 5.341 5.223
angles (deg): 90.00 90.00 90.00
Fractional positions:
Hf 0.000 0.000 0.000
Bi 0.500 0.500 0.500
As 0.000 0.500 0.500
As 0.500 0.000 0.500
Br 0.500 0.500 0.000

Values from the calculation:
The symmetry is P4/mmm (123). The value obtained for the total energy is -39.100 eV/atom. The value obtained for the mass density is 6.9 g/cm3.

---

18.
Compound: AlPt2
Source: Alexandria via LeMat-Bulk
Functional: SCAN
Structure: single point on PBEsol structure

a b c (Å): 4.066 4.066 4.066
angles (deg): 60.00 60.00 60.00
Fractional positions:
Al 0.000 0.000 0.000
Pt 0.250 0.250 0.250
Pt 0.750 0.750 0.750

Values from the calculation:
The symmetry is Fm-3m (225). The value obtained for the total energy is -50.391 eV/atom. The value obtained for the mass density is 14.6 g/cm3. For the energy relative to the elements, the calculation gives -3.0 eV per formula unit.

---

19.
Compound: AlH12Cl3O6
Source: Alexandria via LeMat-Bulk
Functional: SCAN
Structure: single point on PBEsol structure

a b c (Å): 7.842 7.842 7.842
angles (deg): 95.54 95.54 95.54
Fractional positions:
Al 0.000 0.000 0.000
Al 0.500 0.500 0.500
H 0.043 0.739 0.787
H 0.085 0.294 0.884
H 0.116 0.915 0.706
H 0.206 0.415 0.616
H 0.213 0.957 0.261
H 0.239 0.543 0.287
H 0.261 0.213 0.957
H 0.287 0.239 0.543
H 0.294 0.884 0.085
H 0.384 0.794 0.585
H 0.415 0.616 0.206
H 0.457 0.713 0.761
H 0.543 0.287 0.239
H 0.585 0.384 0.794
H 0.616 0.206 0.415
H 0.706 0.116 0.915
H 0.713 0.761 0.457
H 0.739 0.787 0.043
H 0.761 0.457 0.713
H 0.787 0.043 0.739
H 0.794 0.585 0.384
H 0.884 0.085 0.294
H 0.915 0.706 0.116
H 0.957 0.261 0.213
Cl 0.016 0.484 0.750
Cl 0.250 0.984 0.516
Cl 0.484 0.750 0.016
Cl 0.516 0.250 0.984
Cl 0.750 0.016 0.484
Cl 0.984 0.516 0.250
O 0.059 0.869 0.804
O 0.131 0.196 0.941
O 0.196 0.941 0.131
O 0.304 0.369 0.559
O 0.369 0.559 0.304
O 0.441 0.696 0.631
O 0.559 0.304 0.369
O 0.631 0.441 0.696
O 0.696 0.631 0.441
O 0.804 0.059 0.869
O 0.869 0.804 0.059
O 0.941 0.131 0.196

Values from the calculation:
The symmetry is R-3c (167). The value obtained for the total energy is -6.305 eV/atom. The value obtained for the mass density is 1.7 g/cm3.

---

20.
Compound: ReAg2SnO
Source: Alexandria via LeMat-Bulk
Functional: SCAN
Structure: single point on PBEsol structure

a b c (Å): 5.121 5.121 3.885
angles (deg): 90.00 90.00 90.00
Fractional positions:
Re 0.000 0.000 0.000
Ag 0.000 0.500 0.500
Ag 0.500 0.000 0.500
Sn 0.500 0.500 0.500
O 0.500 0.500 0.000

Values from the calculation:
The symmetry is P4/mmm (123). The value obtained for the total energy is -33.880 eV/atom. The value obtained for the mass density is 8.7 g/cm3.